Compound: HgBW2F
Source: Alexandria via LeMat-Bulk
Functional: GGA+U
Structure: optimized geometry

Unit cell a=4.4575 b=4.4575 c=4.6490 alpha=90.00 beta=90.00 gamma=90.00
Space group P4/mmm (No. 123)
Unique sites:
Hg 0.0000 0.0000 0.0000
B 0.0000 0.0000 0.5000
W 0.0000 0.5000 0.5000
F 0.5000 0.5000 0.0000

Values from the calculation:
**Raw total energy**: -0.273 Ry per atom
**Crystal system**: tetragonal